[1]
Computed, not measured: a relaxed Ce2ThNi4 crystal at the GGA-PBE level of DFT.

Cell: 4.375 4.375 8.012 Å, 74.15 74.15 60.00°
Sites, in units of the cell vectors:
Th  0.000  0.000  0.000
Ni  0.412  0.412  0.765
Ni  0.588  0.588  0.235
Ni  0.262  0.262  0.214
Ni  0.738  0.738  0.786
Ce  0.860  0.860  0.419
Ce  0.140  0.140  0.581

Summary:
Space-group type = R-3m
Crystal system = trigonal
Total moment = 0.00 μB per formula unit
Density = 9.84 g cm⁻³
E = -44.29 eV per cell

---

[2]
Computed, not measured: a relaxed Li6CdCu2 crystal at the GGA-PBE level of DFT.

Cell: 5.216 5.218 5.218 Å, 96.83 96.77 96.77°
Sites, in units of the cell vectors:
Li  0.171  0.500  0.829
Li  0.500  0.829  0.171
Li  0.500  0.171  0.829
Li  0.171  0.829  0.500
Li  0.829  0.500  0.171
Li  0.829  0.171  0.500
Cd  0.000  0.000  0.000
Cu  0.656  0.656  0.656
Cu  0.344  0.344  0.344

Summary:
Space-group type = R-3m
Crystal system = trigonal
Distance to the lowest polymorph of the same formula = 0.08 eV/f.u.
Total moment = 0.00 μB per formula unit
Density = 3.36 g cm⁻³
E = -21.12 eV per cell

---

Copy entry 1 word for word.
Computed, not measured: a relaxed Ce2ThNi4 crystal at the GGA-PBE level of DFT.

Cell: 4.375 4.375 8.012 Å, 74.15 74.15 60.00°
Sites, in units of the cell vectors:
Th  0.000  0.000  0.000
Ni  0.412  0.412  0.765
Ni  0.588  0.588  0.235
Ni  0.262  0.262  0.214
Ni  0.738  0.738  0.786
Ce  0.860  0.860  0.419
Ce  0.140  0.140  0.581

Summary:
Space-group type = R-3m
Crystal system = trigonal
Total moment = 0.00 μB per formula unit
Density = 9.84 g cm⁻³
E = -44.29 eV per cell

---

What did the second record say?
Computed, not measured: a relaxed Li6CdCu2 crystal at the GGA-PBE level of DFT.

Cell: 5.216 5.218 5.218 Å, 96.83 96.77 96.77°
Sites, in units of the cell vectors:
Li  0.171  0.500  0.829
Li  0.500  0.829  0.171
Li  0.500  0.171  0.829
Li  0.171  0.829  0.500
Li  0.829  0.500  0.171
Li  0.829  0.171  0.500
Cd  0.000  0.000  0.000
Cu  0.656  0.656  0.656
Cu  0.344  0.344  0.344

Summary:
Space-group type = R-3m
Crystal system = trigonal
Distance to the lowest polymorph of the same formula = 0.08 eV/f.u.
Total moment = 0.00 μB per formula unit
Density = 3.36 g cm⁻³
E = -21.12 eV per cell

---

Question: Look up the E of the second one.
Answer: -21.12 eV per cell